1.
FeCuTe2Rh, single point on PBEsol structure, DFT SCAN; electronic total energy = -27.551 eV/atom; total moment = 0.7944 μB/atom; symmetry = P4/mmm
1.0
5.0616 0.0000 0.0000
0.0000 5.0616 0.0000
0.0000 0.0000 4.6240
Fe Cu Te Rh
1 1 2 1
direct
0.0000 0.0000 0.0000
0.5000 0.5000 0.0000
0.0000 0.5000 0.5000
0.5000 0.0000 0.5000
0.0000 0.0000 0.5000

---

2.
FeCu2Ru, single point on PBEsol structure, DFT SCAN; electronic total energy = -20.617 eV/atom; total moment = 0.8482 μB/atom; symmetry = R-3m; ΔH_f (0 K) = 0.22 eV/atom
1.0
1.2804 0.7392 8.4773
-1.2804 0.7392 8.4773
0.0000 -1.4785 8.4773
Fe Cu Ru
1 2 1
direct
0.0000 0.0000 0.0000
0.2521 0.2521 0.2521
0.7479 0.7479 0.7479
0.5000 0.5000 0.5000

---

3.
FeCuRu, single point on PBEsol structure, DFT SCAN; electronic total energy = -22.548 eV/atom; total moment = 1.1877 μB/atom; symmetry = P3m1; ΔH_f (0 K) = 0.17 eV/atom; distance to the lowest polymorph of the same formula = 0.00 eV per formula unit
1.0
4.1458 0.0000 0.0000
-2.0729 3.5904 0.0000
0.0000 0.0000 2.4640
Fe Cu Ru
1 1 1
direct
0.0000 0.0000 0.0000
0.6667 0.3333 0.2258
0.3333 0.6667 0.6520

---

4.
FeCuRu, single point on PBEsol structure, DFT SCAN; electronic total energy = -22.071 eV/atom; total moment = 0.3060 μB/atom; symmetry = F-43m; ΔH_f (0 K) = 0.65 eV/atom; distance to the lowest polymorph of the same formula = 1.43 eV per formula unit
1.0
0.0000 2.7091 2.7091
2.7091 0.0000 2.7091
2.7091 2.7091 0.0000
Fe Cu Ru
1 1 1
direct
0.0000 0.0000 0.0000
0.2500 0.2500 0.2500
0.7500 0.7500 0.7500